Cs2CdOs: optimized geometry, GGA-PBE.

The calculation puts the energy relative to the elements at 6.304 eV/f.u.

Cell: 10.0121 10.0121 10.0259 Å, 60.05 60.05 90.00°
Last column: nearest neighbours and their distance in Å.
Fractional positions:
Cs 0.8680 0.1250 0.2500  2 Os 3.07
Cs 0.8820 0.6250 0.2500  2 Os 3.07
Cs 0.3750 0.1320 0.7500  2 Os 3.07
Cs 0.8750 0.1180 0.7500  2 Os 3.07
Os 0.0000 0.0000 0.0000  4 Cs 3.07
Os 0.7500 0.2500 0.5000  4 Cs 3.07
Cd 0.5000 0.5000 0.0000  12 Cs 5.81-5.93
Cd 0.2500 0.7500 0.5000  12 Cs 5.81-5.93